[1]
Density functional theory data (PBE) for a geometry-optimized CaPr5Tm6 structure.

Geometry as CIF:
```
data_CaPr5Tm6
_chemical_formula_sum 'Ca1 Pr5 Tm6'
_cell_length_a 6.263
_cell_length_b 8.043
_cell_length_c 8.043
_cell_angle_alpha 84.80
_cell_angle_beta 97.39
_cell_angle_gamma 97.39
_symmetry_space_group_name_H-M 'P 1'
_symmetry_Int_Tables_number 1
loop_
_symmetry_equiv_pos_as_xyz
'x,y,z'
loop_
_atom_site_label
_atom_site_type_symbol
_atom_site_fract_x
_atom_site_fract_y
_atom_site_fract_z
_atom_site_occupancy
Pr1 Pr 0.500 0.831 0.169 1
Pr2 Pr 0.000 0.664 0.336 1
Pr3 Pr 0.500 0.500 0.500 1
Pr4 Pr 0.000 0.336 0.664 1
Pr5 Pr 0.500 0.169 0.831 1
Ca1 Ca 0.000 0.000 0.000 1
Tm1 Tm 0.746 0.915 0.577 1
Tm2 Tm 0.254 0.423 0.085 1
Tm3 Tm 0.254 0.748 0.748 1
Tm4 Tm 0.746 0.252 0.252 1
Tm5 Tm 0.746 0.577 0.915 1
Tm6 Tm 0.254 0.085 0.423 1
```

Properties
Symmetry   No. 12
ΔH_f (0 K)   0.048 eV/atom


[2]
Density functional theory data (PBE) for a geometry-optimized CaAcSi2 structure.

Geometry as CIF:
```
data_CaAcSi2
_chemical_formula_sum 'Ca1 Ac1 Si2'
_cell_length_a 4.018
_cell_length_b 5.516
_cell_length_c 5.516
_cell_angle_alpha 104.43
_cell_angle_beta 90.00
_cell_angle_gamma 90.00
_symmetry_space_group_name_H-M 'P 1'
_symmetry_Int_Tables_number 1
loop_
_symmetry_equiv_pos_as_xyz
'x,y,z'
loop_
_atom_site_label
_atom_site_type_symbol
_atom_site_fract_x
_atom_site_fract_y
_atom_site_fract_z
_atom_site_occupancy
Ca1 Ca 0.500 0.601 0.399 1
Ac1 Ac 0.000 0.015 0.985 1
Si1 Si 0.500 0.127 0.528 1
Si2 Si 0.500 0.472 0.873 1
```

Properties
Symmetry   No. 38
E_form (uncorrected)   -0.23 eV per atom


[3]
Density functional theory data (PBE) for a geometry-optimized AcCeBi2 structure.

Geometry as CIF:
```
data_AcCeBi2
_chemical_formula_sum 'Ac1 Ce1 Bi2'
_cell_length_a 4.072
_cell_length_b 4.072
_cell_length_c 8.094
_cell_angle_alpha 90.00
_cell_angle_beta 90.00
_cell_angle_gamma 90.00
_symmetry_space_group_name_H-M 'P 1'
_symmetry_Int_Tables_number 1
loop_
_symmetry_equiv_pos_as_xyz
'x,y,z'
loop_
_atom_site_label
_atom_site_type_symbol
_atom_site_fract_x
_atom_site_fract_y
_atom_site_fract_z
_atom_site_occupancy
Ac1 Ac 0.500 0.500 0.500 1
Bi1 Bi 0.000 0.000 0.767 1
Bi2 Bi 0.000 0.000 0.233 1
Ce1 Ce 0.500 0.500 0.000 1
```

Properties
Symmetry   No. 123
Distance to the lowest polymorph of the same formula   0.1626 eV per atom
ΔH_f (0 K)   -0.697 eV/atom


[4]
Density functional theory data (PBE) for a geometry-optimized LaNbRe2 structure.

Geometry as CIF:
```
data_LaNbRe2
_chemical_formula_sum 'La2 Nb2 Re4'
_cell_length_a 7.615
_cell_length_b 7.615
_cell_length_c 6.088
_cell_angle_alpha 51.29
_cell_angle_beta 51.29
_cell_angle_gamma 90.00
_symmetry_space_group_name_H-M 'P 1'
_symmetry_Int_Tables_number 1
loop_
_symmetry_equiv_pos_as_xyz
'x,y,z'
loop_
_atom_site_label
_atom_site_type_symbol
_atom_site_fract_x
_atom_site_fract_y
_atom_site_fract_z
_atom_site_occupancy
Re1 Re 0.595 0.125 0.250 1
Re2 Re 0.155 0.625 0.250 1
Re3 Re 0.375 0.405 0.750 1
Re4 Re 0.875 0.845 0.750 1
Nb1 Nb 0.500 0.500 0.000 1
Nb2 Nb 0.250 0.750 0.500 1
La1 La 0.000 0.000 0.000 1
La2 La 0.750 0.250 0.500 1
```

Properties
Symmetry   No. 122
ΔH_f (0 K)   0.866 eV/atom


[5]
Density functional theory data (PBE) for a geometry-optimized MnRe2Ru structure.

Geometry as CIF:
```
data_MnRe2Ru
_chemical_formula_sum 'Mn1 Re2 Ru1'
_cell_length_a 8.895
_cell_length_b 8.895
_cell_length_c 8.895
_cell_angle_alpha 17.61
_cell_angle_beta 17.61
_cell_angle_gamma 17.61
_symmetry_space_group_name_H-M 'P 1'
_symmetry_Int_Tables_number 1
loop_
_symmetry_equiv_pos_as_xyz
'x,y,z'
loop_
_atom_site_label
_atom_site_type_symbol
_atom_site_fract_x
_atom_site_fract_y
_atom_site_fract_z
_atom_site_occupancy
Mn1 Mn 0.751 0.751 0.751 1
Re1 Re 0.003 0.003 0.003 1
Re2 Re 0.250 0.250 0.250 1
Ru1 Ru 0.496 0.496 0.496 1
```

Properties
Symmetry   No. 160
Distance to the lowest polymorph of the same formula   0.1170 eV per atom
ΔH_f (0 K)   0.122 eV/atom


[6]
Density functional theory data (PBE) for a geometry-optimized AcThMgTl structure.

Geometry as CIF:
```
data_AcThMgTl
_chemical_formula_sum 'Ac1 Th1 Mg1 Tl1'
_cell_length_a 5.645
_cell_length_b 5.645
_cell_length_c 5.645
_cell_angle_alpha 60.00
_cell_angle_beta 60.00
_cell_angle_gamma 60.00
_symmetry_space_group_name_H-M 'P 1'
_symmetry_Int_Tables_number 1
loop_
_symmetry_equiv_pos_as_xyz
'x,y,z'
loop_
_atom_site_label
_atom_site_type_symbol
_atom_site_fract_x
_atom_site_fract_y
_atom_site_fract_z
_atom_site_occupancy
Mg1 Mg 0.250 0.250 0.250 1
Ac1 Ac 0.000 0.000 0.000 1
Tl1 Tl 0.750 0.750 0.750 1
Th1 Th 0.500 0.500 0.500 1
```

Properties
Symmetry   No. 216
ΔH_f (0 K)   -0.045 eV/atom


[7]
Density functional theory data (PBE) for a geometry-optimized Ba4SnO structure.

Geometry as CIF:
```
data_Ba4SnO
_chemical_formula_sum 'Ba8 Sn2 O2'
_cell_length_a 7.182
_cell_length_b 7.874
_cell_length_c 10.291
_cell_angle_alpha 112.49
_cell_angle_beta 106.76
_cell_angle_gamma 90.00
_symmetry_space_group_name_H-M 'P 1'
_symmetry_Int_Tables_number 1
loop_
_symmetry_equiv_pos_as_xyz
'x,y,z'
loop_
_atom_site_label
_atom_site_type_symbol
_atom_site_fract_x
_atom_site_fract_y
_atom_site_fract_z
_atom_site_occupancy
Ba1 Ba 0.121 0.705 0.410 1
Ba2 Ba 0.482 0.149 0.752 1
Ba3 Ba 0.000 0.265 0.000 1
Ba4 Ba 0.518 0.397 0.248 1
Ba5 Ba 0.879 0.295 0.590 1
Ba6 Ba 0.518 0.851 0.248 1
Ba7 Ba 0.000 0.735 0.000 1
Ba8 Ba 0.482 0.603 0.752 1
Sn1 Sn 0.756 0.801 0.603 1
Sn2 Sn 0.244 0.199 0.397 1
O1 O 0.222 0.586 0.172 1
O2 O 0.778 0.414 0.828 1
```

Properties
Symmetry   No. 12
E_form (uncorrected)   -1.01 eV per atom


[8]
Density functional theory data (PBE) for a geometry-optimized NdHoMg2Ag4 structure.

Geometry as CIF:
```
data_NdHoMg2Ag4
_chemical_formula_sum 'Nd1 Ho1 Mg2 Ag4'
_cell_length_a 5.007
_cell_length_b 5.007
_cell_length_c 8.626
_cell_angle_alpha 73.13
_cell_angle_beta 73.13
_cell_angle_gamma 60.00
_symmetry_space_group_name_H-M 'P 1'
_symmetry_Int_Tables_number 1
loop_
_symmetry_equiv_pos_as_xyz
'x,y,z'
loop_
_atom_site_label
_atom_site_type_symbol
_atom_site_fract_x
_atom_site_fract_y
_atom_site_fract_z
_atom_site_occupancy
Nd1 Nd 0.000 0.000 0.000 1
Ho1 Ho 0.500 0.500 0.500 1
Mg1 Mg 0.750 0.750 0.748 1
Mg2 Mg 0.250 0.250 0.252 1
Ag1 Ag 0.378 0.378 0.866 1
Ag2 Ag 0.871 0.871 0.386 1
Ag3 Ag 0.129 0.129 0.614 1
Ag4 Ag 0.622 0.622 0.134 1
```

Properties
Symmetry   No. 166
ΔH_f (0 K)   -0.288 eV/atom


no.,magnetization (μB/f.u.),total DFT energy (no corrections) (eV/atom)
1,0.00,-4.35
2,0.00,-4.47
3,1.06,-5.15
4,0.00,-9.11
5,1.51,-10.71
6,0.00,-3.92
7,0.00,-3.79
8,0.00,-3.28